1.
# Ta2Nb2Fe, relaxed, DFT PBE
# **Calculated density**: 11.10 Mg/m³
# **Raw total energy**: -10.184 eV per atom
# **ΔH_f (0 K)**: 0.278 eV per atom
data_Ta2Nb2Fe
_cell_length_a 4.258
_cell_length_b 4.258
_cell_length_c 19.924
_cell_angle_alpha 90.00
_cell_angle_beta 90.00
_cell_angle_gamma 90.00
_symmetry_space_group_name_H-M 'I 41/a m d'
_symmetry_Int_Tables_number 141
loop_
_symmetry_equiv_pos_as_xyz
'x,y,z'
'-x,-y,-z'
'-y+1/4,x+3/4,z+1/4'
'y+1/4,-x+3/4,-z+1/4'
'-x+1/2,-y,z+1/2'
'x+1/2,y,-z+1/2'
'y+1/4,-x+1/4,z+3/4'
'-y+1/4,x+1/4,-z+3/4'
'x,-y,-z'
'-x,y,z'
'-y+1/4,-x+1/4,-z+3/4'
'y+1/4,x+1/4,z+3/4'
'-x+1/2,y,-z+1/2'
'x+1/2,-y,z+1/2'
'y+1/4,x+3/4,-z+1/4'
'-y+1/4,-x+3/4,z+1/4'
'x+1/2,y+1/2,z+1/2'
'-x+1/2,-y+1/2,-z+1/2'
'-y+3/4,x+1/4,z+3/4'
'y+3/4,-x+1/4,-z+3/4'
'-x,-y+1/2,z'
'x,y+1/2,-z'
'y+3/4,-x+3/4,z+1/4'
'-y+3/4,x+3/4,-z+1/4'
'x+1/2,-y+1/2,-z+1/2'
'-x+1/2,y+1/2,z+1/2'
'-y+3/4,-x+3/4,-z+1/4'
'y+3/4,x+3/4,z+1/4'
'-x,y+1/2,-z'
'x,-y+1/2,z'
'y+3/4,x+1/4,-z+3/4'
'-y+3/4,-x+1/4,z+3/4'
loop_
_atom_site_label
_atom_site_type_symbol
_atom_site_fract_x
_atom_site_fract_y
_atom_site_fract_z
Ta1 Ta 0.000 0.250 0.052
Nb1 Nb 0.000 0.250 0.200
Fe1 Fe 0.000 0.250 0.375


2.
# Ac2TeS, relaxed, DFT PBE
# **Calculated density**: 7.60 Mg/m³
# **Raw total energy**: -5.462 eV per atom
# **Formation energy (no corrections)**: -6.4 eV/f.u.
data_Ac2TeS
_cell_length_a 4.357
_cell_length_b 7.877
_cell_length_c 7.810
_cell_angle_alpha 90.00
_cell_angle_beta 90.00
_cell_angle_gamma 90.00
_symmetry_space_group_name_H-M 'P m m n'
_symmetry_Int_Tables_number 59
loop_
_symmetry_equiv_pos_as_xyz
'x,y,z'
'-x,-y,-z'
'-x+1/2,-y+1/2,z'
'x+1/2,y+1/2,-z'
'x+1/2,-y,-z'
'-x+1/2,y,z'
'-x,y+1/2,-z'
'x,-y+1/2,z'
loop_
_atom_site_label
_atom_site_type_symbol
_atom_site_fract_x
_atom_site_fract_y
_atom_site_fract_z
Ac1 Ac 0.250 0.004 0.217
Te1 Te 0.250 0.250 0.572
S1 S 0.250 0.750 0.909


3.
# YHf3Cu, relaxed, DFT PBE
# **Calculated density**: 8.45 Mg/m³
# **Raw total energy**: -6.235 eV per atom
# **ΔH_f (0 K)**: 1.849 eV per atom
data_YHf3Cu
_cell_length_a 5.132
_cell_length_b 5.132
_cell_length_c 5.132
_cell_angle_alpha 90.00
_cell_angle_beta 90.00
_cell_angle_gamma 90.00
_symmetry_space_group_name_H-M 'P m -3 m'
_symmetry_Int_Tables_number 221
_symmetry_space_group_name_Hall '-P 4 2 3'
loop_
_atom_site_label
_atom_site_type_symbol
_atom_site_fract_x
_atom_site_fract_y
_atom_site_fract_z
Y1 Y 0.000 0.000 0.000
Hf1 Hf 0.000 0.000 0.500
Cu1 Cu 0.500 0.500 0.500


4.
# BAsOs2, relaxed, DFT PBE
# **Calculated density**: 11.70 Mg/m³
# **Raw total energy**: -7.831 eV per atom
# **ΔH_f (0 K)**: 0.615 eV per atom
data_BAsOs2
_cell_length_a 5.148
_cell_length_b 5.148
_cell_length_c 9.984
_cell_angle_alpha 90.00
_cell_angle_beta 90.00
_cell_angle_gamma 90.00
_symmetry_space_group_name_H-M 'I -4 2 d'
_symmetry_Int_Tables_number 122
_symmetry_space_group_name_Hall 'I -4 2bw'
loop_
_atom_site_label
_atom_site_type_symbol
_atom_site_fract_x
_atom_site_fract_y
_atom_site_fract_z
B1 B 0.000 0.000 0.000
As1 As 0.000 0.000 0.500
Os1 Os 0.192 0.250 0.125


5.
# Zr2MnAu, relaxed, DFT PBE
# **Calculated density**: 9.30 Mg/m³
# **Raw total energy**: -7.555 eV per atom
# **ΔH_f (0 K)**: -0.169 eV per atom
data_Zr2MnAu
_cell_length_a 3.397
_cell_length_b 3.397
_cell_length_c 6.716
_cell_angle_alpha 90.00
_cell_angle_beta 90.00
_cell_angle_gamma 90.00
_symmetry_space_group_name_H-M 'P 4 m m'
_symmetry_Int_Tables_number 99
loop_
_symmetry_equiv_pos_as_xyz
'x,y,z'
'-y,x,z'
'-x,-y,z'
'y,-x,z'
'-x,y,z'
'y,x,z'
'x,-y,z'
'-y,-x,z'
loop_
_atom_site_label
_atom_site_type_symbol
_atom_site_fract_x
_atom_site_fract_y
_atom_site_fract_z
Zr1 Zr 0.000 0.000 0.000
Zr2 Zr 0.500 0.500 0.294
Mn1 Mn 0.500 0.500 0.767
Au1 Au 0.000 0.000 0.542


6.
# Sm3TmMg3, relaxed, DFT PBE
# **Calculated density**: 5.41 Mg/m³
# **Raw total energy**: -3.272 eV per atom
# **ΔH_f (0 K)**: 0.073 eV per atom
data_Sm3TmMg3
_cell_length_a 10.718
_cell_length_b 11.221
_cell_length_c 7.072
_cell_angle_alpha 90.00
_cell_angle_beta 90.00
_cell_angle_gamma 90.00
_symmetry_space_group_name_H-M 'C m m m'
_symmetry_Int_Tables_number 65
_symmetry_space_group_name_Hall '-C 2 2'
loop_
_atom_site_label
_atom_site_type_symbol
_atom_site_fract_x
_atom_site_fract_y
_atom_site_fract_z
Sm1 Sm 0.000 0.000 0.247
Sm2 Sm 0.250 0.250 0.252
Tm1 Tm 0.192 0.500 0.000
Mg1 Mg 0.000 0.257 0.000
Mg2 Mg 0.000 0.313 0.500
Mg3 Mg 0.218 0.500 0.500


7.
# SrTmGa2, relaxed, DFT PBE
# **Calculated density**: 6.48 Mg/m³
# **Raw total energy**: -3.521 eV per atom
# **ΔH_f (0 K)**: -0.469 eV per atom
data_SrTmGa2
_cell_length_a 3.697
_cell_length_b 3.697
_cell_length_c 7.420
_cell_angle_alpha 90.00
_cell_angle_beta 90.00
_cell_angle_gamma 90.00
_symmetry_space_group_name_H-M 'P 4/m m m'
_symmetry_Int_Tables_number 123
_symmetry_space_group_name_Hall '-P 4 2'
loop_
_atom_site_label
_atom_site_type_symbol
_atom_site_fract_x
_atom_site_fract_y
_atom_site_fract_z
Sr1 Sr 0.000 0.000 0.000
Tm1 Tm 0.000 0.000 0.500
Ga1 Ga 0.500 0.500 0.288


8.
# U2Zn16Re, relaxed, DFT PBE
# **Calculated density**: 9.27 Mg/m³
# **Raw total energy**: -2.911 eV per atom
# **ΔH_f (0 K)**: 0.005 eV per atom
data_U2Zn16Re
_cell_length_a 9.0837
_cell_length_b 9.0837
_cell_length_c 12.8484
_cell_angle_alpha 90.00
_cell_angle_beta 90.00
_cell_angle_gamma 120.00
_symmetry_space_group_name_H-M 'R 3 m'
_symmetry_Int_Tables_number 160
_symmetry_space_group_name_Hall 'R 3 -2"'
loop_
_atom_site_label
_atom_site_type_symbol
_atom_site_fract_x
_atom_site_fract_y
_atom_site_fract_z
U1 U 0.0000 0.0000 0.0000
U2 U 0.0000 0.0000 0.3456
Zn1 Zn 0.0000 0.0000 0.5893
Zn2 Zn 0.0000 0.2905 0.6895
Zn3 Zn 0.0084 0.5042 0.1871
Zn4 Zn 0.0183 0.5092 0.8359
Zn5 Zn 0.1713 0.3425 0.8701
Re1 Re 0.0000 0.0000 0.8101


9.
# Gd2SnF, relaxed, DFT PBE
# **Calculated density**: 8.00 Mg/m³
# **Raw total energy**: -9.894 eV per atom
# **Formation energy (no corrections)**: -5.5 eV/f.u.
data_Gd2SnF
_cell_length_a 3.8347
_cell_length_b 3.8347
_cell_length_c 22.1177
_cell_angle_alpha 90.00
_cell_angle_beta 90.00
_cell_angle_gamma 120.00
_symmetry_space_group_name_H-M 'R -3 m'
_symmetry_Int_Tables_number 166
_symmetry_space_group_name_Hall '-R 3 2"'
loop_
_atom_site_label
_atom_site_type_symbol
_atom_site_fract_x
_atom_site_fract_y
_atom_site_fract_z
Gd1 Gd 0.0000 0.0000 0.2303
Sn1 Sn 0.0000 0.0000 0.0000
F1 F 0.0000 0.0000 0.5000


10.
# FeBH2, relaxed, DFT PBE
# **Calculated density**: 4.69 Mg/m³
# **Raw total energy**: -4.959 eV per atom
data_FeBH2
_cell_length_a 2.892
_cell_length_b 2.892
_cell_length_c 11.631
_cell_angle_alpha 90.00
_cell_angle_beta 90.00
_cell_angle_gamma 90.00
_symmetry_space_group_name_H-M 'I -4 2 d'
_symmetry_Int_Tables_number 122
_symmetry_space_group_name_Hall 'I -4 2bw'
loop_
_atom_site_label
_atom_site_type_symbol
_atom_site_fract_x
_atom_site_fract_y
_atom_site_fract_z
Fe1 Fe 0.000 0.000 0.000
B1 B 0.000 0.000 0.500
H1 H 0.220 0.250 0.125


11.
# Rb3AuF, relaxed, DFT PBE
# **Calculated density**: 3.68 Mg/m³
# **Raw total energy**: -2.725 eV per atom
# **Formation energy (no corrections)**: -5.6 eV/f.u.
data_Rb3AuF
_cell_length_a 4.812
_cell_length_b 9.656
_cell_length_c 9.657
_cell_angle_alpha 72.09
_cell_angle_beta 89.15
_cell_angle_gamma 89.13
_symmetry_space_group_name_H-M 'P -1'
_symmetry_Int_Tables_number 2
loop_
_symmetry_equiv_pos_as_xyz
'x,y,z'
'-x,-y,-z'
loop_
_atom_site_label
_atom_site_type_symbol
_atom_site_fract_x
_atom_site_fract_y
_atom_site_fract_z
Rb1 Rb 0.210 0.065 0.186
Rb2 Rb 0.211 0.686 0.565
Rb3 Rb 0.219 0.603 0.104
Au1 Au 0.280 0.235 0.736
F1 F 0.001 0.667 0.833


Q: The highest raw total energy belongs to which entry?
A: Rb3AuF


Q: Among the records above, which one has the lowest calculated density?
A: Rb3AuF